1.
{
  "formula": "PrBiPd2",
  "functional": "GGA-PBE",
  "state": "optimized geometry",
  "lattice_angstrom": [[-1.433, -0.045, 3.698], [1.075, -4.637, 0.360], [4.319, 1.132, 1.688]],
  "species": ["Bi", "Pd", "Pd", "Pr"],
  "frac_coords": [[0.500, 0.000, 0.000], [0.000, 0.500, 0.000], [0.000, 0.000, 0.500], [0.500, 0.500, 0.500]],
  "density_g_cm3": 10.34,
  "delta_e_f_mev_per_atom": -593,
  "e_above_lowest_polymorph_mev_per_atom": 113
}


2.
{
  "formula": "SnHSe",
  "functional": "GGA-PBE",
  "state": "optimized geometry",
  "lattice_angstrom": [[4.143, 0.009, 0.004], [2.064, 5.747, 0.568], [2.065, -0.760, 6.065]],
  "species": ["Se", "Se", "Sn", "Sn", "H", "H"],
  "frac_coords": [[0.906, 0.628, 0.355], [0.008, 0.035, 0.742], [0.640, 0.093, 0.416], [0.511, 0.713, 0.059], [0.297, 0.013, 0.187], [0.844, 0.284, 0.821]],
  "density_g_cm3": 4.52
}


3.
{
  "formula": "Ca2SnTe",
  "functional": "GGA-PBE",
  "state": "optimized geometry",
  "lattice_angstrom": [[8.465, 0.000, 0.000], [0.000, 8.465, 0.000], [4.232, 4.232, 3.648]],
  "species": ["Sn", "Sn", "Te", "Te", "Ca", "Ca", "Ca", "Ca"],
  "frac_coords": [[0.500, 0.500, 0.000], [0.250, 0.750, 0.500], [0.750, 0.250, 0.500], [0.000, 0.000, 0.000], [0.875, 0.884, 0.750], [0.375, 0.366, 0.750], [0.116, 0.625, 0.250], [0.634, 0.125, 0.250]],
  "e_form_raw_ev_per_atom": -0.72,
  "density_g_cm3": 4.15,
  "e_above_lowest_polymorph_mev_per_atom": 35
}


4.
{
  "formula": "BaW2Cl",
  "functional": "GGA-PBE",
  "state": "optimized geometry",
  "lattice_angstrom": [[3.480, -0.381, 0.168], [2.159, 2.756, 0.168], [2.085, 0.878, 9.505]],
  "species": ["Ba", "Cl", "W", "W"],
  "frac_coords": [[0.470, 0.470, 0.515], [0.678, 0.678, 0.778], [0.050, 0.050, 0.022], [0.302, 0.302, 0.185]],
  "e_form_raw_ev_per_atom": 0.38,
  "density_g_cm3": 9.19,
  "e_above_lowest_polymorph_mev_per_atom": 209
}


Let's list size of the total moment in order: 0.0, 0.0, 0.0, 0.0 Bohr magnetons per cell.
Let's list electronic total energy in order: -5.3544, -3.7498, -3.5118, -7.0379 eV/atom.
Let's list calculated volume in order: 90.4, 146.0, 261.4, 97.7 Å³/cell.